[1]
The following is a DFT calculation (PBE-GGA) of an optimized crystal structure of K2HfPa3O12.

a = 7.876 Å, b = 7.876 Å, c = 7.876 Å
α = 61.41°, β = 61.41°, γ = 61.41°
Atoms (fractional coordinates):
K (0.106, 0.106, 0.106)
K (0.894, 0.894, 0.894)
Hf (0.500, 0.500, 0.500)
Pa (0.000, 0.500, 0.500)
Pa (0.500, 0.000, 0.500)
Pa (0.500, 0.500, 0.000)
O (0.178, 0.178, 0.576)
O (0.178, 0.576, 0.178)
O (0.193, 0.562, 0.562)
O (0.424, 0.822, 0.822)
O (0.438, 0.438, 0.807)
O (0.438, 0.807, 0.438)
O (0.562, 0.193, 0.562)
O (0.562, 0.562, 0.193)
O (0.576, 0.178, 0.178)
O (0.807, 0.438, 0.438)
O (0.822, 0.424, 0.822)
O (0.822, 0.822, 0.424)

Final energy in eV per formula unit: -150.9
Volume in Å³ per cell: 356.5
Symmetry: R-3m, No. 166

[2]
The following is a DFT calculation (PBE-GGA) of an optimized crystal structure of K2Hf3PaO12.

a = 7.784 Å, b = 7.784 Å, c = 7.784 Å
α = 59.55°, β = 59.55°, γ = 59.55°
Atoms (fractional coordinates):
K (0.118, 0.118, 0.118)
K (0.882, 0.882, 0.882)
Hf (0.000, 0.500, 0.500)
Hf (0.500, 0.000, 0.500)
Hf (0.500, 0.500, 0.000)
Pa (0.500, 0.500, 0.500)
O (0.173, 0.573, 0.573)
O (0.185, 0.185, 0.569)
O (0.185, 0.569, 0.185)
O (0.427, 0.427, 0.827)
O (0.427, 0.827, 0.427)
O (0.431, 0.815, 0.815)
O (0.569, 0.185, 0.185)
O (0.573, 0.173, 0.573)
O (0.573, 0.573, 0.173)
O (0.815, 0.431, 0.815)
O (0.815, 0.815, 0.431)
O (0.827, 0.427, 0.427)

Final energy in eV per formula unit: -145.2
Volume in Å³ per cell: 330.1
Symmetry: R-3m, No. 166

[3]
The following is a DFT calculation (PBE-GGA) of an optimized crystal structure of K4Hf3PaO12.

a = 7.321 Å, b = 7.321 Å, c = 7.321 Å
α = 109.47°, β = 109.47°, γ = 109.47°
Atoms (fractional coordinates):
K (0.000, 0.000, 0.500)
K (0.000, 0.500, 0.000)
K (0.500, 0.000, 0.000)
K (0.500, 0.500, 0.500)
Hf (0.000, 0.500, 0.500)
Hf (0.500, 0.000, 0.500)
Hf (0.500, 0.500, 0.000)
Pa (0.000, 0.000, 0.000)
O (0.000, 0.256, 0.256)
O (0.000, 0.744, 0.744)
O (0.250, 0.500, 0.750)
O (0.250, 0.750, 0.500)
O (0.256, 0.000, 0.256)
O (0.256, 0.256, 0.000)
O (0.500, 0.250, 0.750)
O (0.500, 0.750, 0.250)
O (0.744, 0.000, 0.744)
O (0.744, 0.744, 0.000)
O (0.750, 0.250, 0.500)
O (0.750, 0.500, 0.250)

Final energy in eV per formula unit: -156.9
Volume in Å³ per cell: 302.0
Symmetry: Im-3m, No. 229

[4]
The following is a DFT calculation (PBE-GGA) of an optimized crystal structure of K2Hf3PbO8.

a = 7.524 Å, b = 7.524 Å, c = 7.524 Å
α = 51.09°, β = 51.09°, γ = 51.09°
Atoms (fractional coordinates):
K (0.000, 0.000, 0.000)
K (0.368, 0.368, 0.368)
Hf (0.368, 0.368, 0.877)
Hf (0.368, 0.877, 0.368)
Hf (0.877, 0.368, 0.368)
Pb (0.760, 0.760, 0.760)
O (0.109, 0.109, 0.552)
O (0.109, 0.552, 0.109)
O (0.145, 0.145, 0.145)
O (0.171, 0.633, 0.633)
O (0.552, 0.109, 0.109)
O (0.587, 0.587, 0.587)
O (0.633, 0.171, 0.633)
O (0.633, 0.633, 0.171)

Final energy in eV per formula unit: -114.0
Volume in Å³ per cell: 237.9
Symmetry: R3m, No. 160

[5]
The following is a DFT calculation (PBE-GGA) of an optimized crystal structure of K3HfPb2O6.

a = 6.130 Å, b = 6.130 Å, c = 7.118 Å
α = 90.00°, β = 90.00°, γ = 120.00°
Atoms (fractional coordinates):
K (0.000, 0.000, 0.000)
K (0.333, 0.667, 0.635)
K (0.667, 0.333, 0.365)
Hf (0.000, 0.000, 0.500)
Pb (0.333, 0.667, 0.167)
Pb (0.667, 0.333, 0.833)
O (0.159, 0.319, 0.327)
O (0.159, 0.841, 0.327)
O (0.319, 0.159, 0.673)
O (0.681, 0.841, 0.327)
O (0.841, 0.159, 0.673)
O (0.841, 0.681, 0.673)

Final energy in eV per formula unit: -71.7
Volume in Å³ per cell: 231.6
Symmetry: P-3m1, No. 164

[6]
The following is a DFT calculation (PBE-GGA) of an optimized crystal structure of K2HfPdO4.

a = 5.619 Å, b = 5.619 Å, c = 5.619 Å
α = 111.99°, β = 111.99°, γ = 104.54°
Atoms (fractional coordinates):
K (0.000, 0.000, 0.000)
K (0.750, 0.250, 0.500)
Hf (0.250, 0.750, 0.500)
Pd (0.500, 0.500, 0.000)
O (0.277, 0.437, 0.573)
O (0.295, 0.723, 0.160)
O (0.563, 0.135, 0.840)
O (0.865, 0.705, 0.427)

Final energy in eV per formula unit: -52.0
Volume in Å³ per cell: 135.8
Symmetry: I-4, No. 82

[7]
The following is a DFT calculation (PBE-GGA) of an optimized crystal structure of KHf4Pd3O12.

a = 6.842 Å, b = 6.842 Å, c = 6.842 Å
α = 109.47°, β = 109.47°, γ = 109.47°
Atoms (fractional coordinates):
K (0.000, 0.000, 0.000)
Hf (0.000, 0.000, 0.500)
Hf (0.000, 0.500, 0.000)
Hf (0.500, 0.000, 0.000)
Hf (0.500, 0.500, 0.500)
Pd (0.000, 0.500, 0.500)
Pd (0.500, 0.000, 0.500)
Pd (0.500, 0.500, 0.000)
O (0.131, 0.823, 0.308)
O (0.177, 0.308, 0.485)
O (0.177, 0.692, 0.869)
O (0.308, 0.131, 0.823)
O (0.308, 0.485, 0.177)
O (0.485, 0.177, 0.308)
O (0.515, 0.823, 0.692)
O (0.692, 0.515, 0.823)
O (0.692, 0.869, 0.177)
O (0.823, 0.308, 0.131)
O (0.823, 0.692, 0.515)
O (0.869, 0.177, 0.692)

Final energy in eV per formula unit: -162.3
Volume in Å³ per cell: 246.6
Symmetry: Im-3, No. 204

[8]
The following is a DFT calculation (PBE-GGA) of an optimized crystal structure of K3Pm2HfO6.

a = 6.066 Å, b = 6.066 Å, c = 6.615 Å
α = 98.77°, β = 98.77°, γ = 120.05°
Atoms (fractional coordinates):
K (0.000, 0.000, 0.000)
K (0.336, 0.664, 0.000)
K (0.664, 0.336, 0.000)
Pm (0.167, 0.833, 0.500)
Pm (0.833, 0.167, 0.500)
Hf (0.500, 0.500, 0.500)
O (0.139, 0.439, 0.318)
O (0.261, 0.261, 0.683)
O (0.439, 0.139, 0.318)
O (0.561, 0.861, 0.682)
O (0.739, 0.739, 0.317)
O (0.861, 0.561, 0.682)

Final energy in eV per formula unit: -83.3
Volume in Å³ per cell: 200.6
Symmetry: C2/m, No. 12